# Ba2CoF8

A relaxed structure of Ba2CoF8 (PBE+U, Alexandria via LeMat-Bulk).

a = 4.733 Å, b = 4.839 Å, c = 8.269 Å
α = 104.83°, β = 104.41°, γ = 97.34°
Sites, in units of the cell vectors:
Co (0.999, 0.030, 0.000)
Ba (0.340, 0.371, 0.680)
Ba (0.660, 0.691, 0.320)
F (0.795, 0.155, 0.827)
F (0.968, 0.328, 0.173)
F (0.256, 0.787, 0.513)
F (0.664, 0.804, 0.000)
F (0.744, 0.275, 0.487)
F (0.030, 0.732, 0.827)
F (0.203, 0.905, 0.173)
F (0.335, 0.256, 0.000)

Results
Spin magnetization = 1.107 μB per cell
Symmetry = Cm (8)
E_tot = -5.05 eV per atom
ρ = 4.6 Mg/m³